Below is crystalline CdNiPt2 at its relaxed geometry, with properties calculated at the PBE level.

As for the symmetry: P4mm, No. 99. The formation energy is -0.080 eV/atom. For the final energy, the calculation gives -0.1755 Ha/atom.

Unit cell a=2.827 b=2.827 c=7.730 alpha=90.00 beta=90.00 gamma=90.00
Positions (direct):
Pt (0.000, 0.000, 0.980)
Pt (0.500, 0.500, 0.242)
Cd (0.000, 0.000, 0.515)
Ni (0.500, 0.500, 0.763)


Below is crystalline Cd2Ni2Pt at its relaxed geometry, with properties calculated at the PBE level.

As for the symmetry: P4/mbm, No. 127. The formation energy is 0.208 eV/atom. For the final energy, the calculation gives -0.1352 Ha/atom.

Unit cell a=7.417 b=7.417 c=2.887 alpha=90.00 beta=90.00 gamma=90.00
Positions (direct):
Pt (0.500, 0.500, 0.000)
Pt (0.000, 0.000, 0.000)
Ni (0.157, 0.657, 0.500)
Ni (0.343, 0.157, 0.500)
Ni (0.843, 0.343, 0.500)
Ni (0.657, 0.843, 0.500)
Cd (0.858, 0.642, 0.000)
Cd (0.642, 0.142, 0.000)
Cd (0.358, 0.858, 0.000)
Cd (0.142, 0.358, 0.000)


Below is crystalline CdNiPt2 at its relaxed geometry, with properties calculated at the PBE level.

As for the symmetry: Immm, No. 71. The formation energy is -0.091 eV/atom. For the final energy, the calculation gives -0.1759 Ha/atom.

Unit cell a=5.406 b=5.406 c=5.406 alpha=149.54 beta=128.30 gamma=61.20
Positions (direct):
Cd (0.750, 0.250, 0.500)
Ni (0.250, 0.750, 0.500)
Pt (0.016, 0.016, 0.000)
Pt (0.484, 0.484, 0.000)


Below is crystalline Cd2NiPt at its relaxed geometry, with properties calculated at the PBE level.

As for the symmetry: I4/mmm, No. 139. The formation energy is -0.139 eV/atom. For the final energy, the calculation gives -0.1305 Ha/atom.

Unit cell a=4.832 b=4.832 c=4.832 alpha=128.94 beta=128.93 gamma=75.12
Positions (direct):
Ni (0.750, 0.250, 0.500)
Cd (0.000, 0.000, 0.000)
Cd (0.500, 0.500, 0.000)
Pt (0.250, 0.750, 0.500)


Below is crystalline CdNiPt2 at its relaxed geometry, with properties calculated at the PBE level.

As for the symmetry: Imm2, No. 44. The formation energy is -0.050 eV/atom. For the final energy, the calculation gives -0.1744 Ha/atom.

Unit cell a=5.434 b=5.434 c=5.434 alpha=149.56 beta=129.16 gamma=60.42
Positions (direct):
Pt (0.016, 0.016, 0.000)
Pt (0.756, 0.256, 0.500)
Ni (0.241, 0.741, 0.500)
Cd (0.487, 0.487, 0.000)


Below is crystalline CdNiPt2 at its relaxed geometry, with properties calculated at the PBE level.

As for the symmetry: Pmm2, No. 25. The formation energy is -0.096 eV/atom. For the final energy, the calculation gives -0.1761 Ha/atom.

Unit cell a=2.810 b=3.860 c=5.772 alpha=90.00 beta=90.00 gamma=90.00
Positions (direct):
Ni (0.500, 0.500, 0.777)
Pt (0.000, 0.000, 0.979)
Pt (0.500, 0.500, 0.239)
Cd (0.000, 0.000, 0.504)


Below is crystalline CdNi2Pt at its relaxed geometry, with properties calculated at the PBE level.

As for the symmetry: R-3m, No. 166. The formation energy is 0.081 eV/atom. For the final energy, the calculation gives -0.1672 Ha/atom.

Unit cell a=8.811 b=8.811 c=8.811 alpha=18.13 beta=18.13 gamma=18.13
Positions (direct):
Ni (0.497, 0.497, 0.497)
Ni (0.003, 0.003, 0.003)
Cd (0.250, 0.250, 0.250)
Pt (0.750, 0.750, 0.750)


Below is crystalline CdNi5Pt6 at its relaxed geometry, with properties calculated at the PBE level.

As for the symmetry: Immm, No. 71. The formation energy is -0.095 eV/atom. For the final energy, the calculation gives -0.2058 Ha/atom.

Unit cell a=3.903 b=7.195 c=7.195 alpha=108.53 beta=105.74 gamma=105.74
Positions (direct):
Pt (0.229, 0.729, 0.729)
Pt (0.739, 0.569, 0.909)
Pt (0.261, 0.431, 0.091)
Pt (0.739, 0.909, 0.569)
Pt (0.261, 0.091, 0.431)
Pt (0.771, 0.271, 0.271)
Ni (0.000, 0.327, 0.673)
Ni (0.500, 0.832, 0.168)
Ni (0.000, 0.673, 0.327)
Ni (0.500, 0.168, 0.832)
Ni (0.500, 0.500, 0.500)
Cd (0.000, 0.000, 0.000)